Entry 1:
A relaxed structure of HfGa2Mo2, computed with GGA-PBE.

```
HfGa2Mo2
1.0
6.931 0.000 0.000
0.000 6.931 0.000
0.000 0.000 3.426
Hf Ga Mo
2 4 4
direct
0.000 0.000 0.000
0.500 0.500 0.000
0.126 0.374 0.000
0.626 0.126 0.000
0.874 0.626 0.000
0.374 0.874 0.000
0.174 0.674 0.500
0.826 0.326 0.500
0.674 0.826 0.500
0.326 0.174 0.500
```

Results
The formation enthalpy at 0 K is -1.2 eV per formula unit. For the density, the calculation gives 10.29 g/cm³. The excess energy over the best structure of this formula in the dataset is 0 meV/atom.

---

Entry 2:
A relaxed structure of Hf6Ga5Mo, computed with GGA-PBE.

```
Hf6Ga5Mo
1.0
5.561 0.023 0.000
1.792 8.576 0.000
0.896 4.288 4.853
Hf Mo Ga
6 1 5
direct
0.733 0.433 0.661
0.209 0.280 0.000
0.733 0.094 0.339
0.791 0.720 0.000
0.267 0.906 0.661
0.267 0.567 0.339
0.000 0.000 0.000
0.500 0.865 0.271
0.500 0.135 0.729
0.000 0.707 0.587
0.000 0.293 0.413
0.500 0.500 0.000
```

Results
The formation enthalpy at 0 K is -2.8 eV per formula unit. For the density, the calculation gives 10.88 g/cm³.

---

Please write out number 1 again, unchanged.
A relaxed structure of HfGa2Mo2, computed with GGA-PBE.

```
HfGa2Mo2
1.0
6.931 0.000 0.000
0.000 6.931 0.000
0.000 0.000 3.426
Hf Ga Mo
2 4 4
direct
0.000 0.000 0.000
0.500 0.500 0.000
0.126 0.374 0.000
0.626 0.126 0.000
0.874 0.626 0.000
0.374 0.874 0.000
0.174 0.674 0.500
0.826 0.326 0.500
0.674 0.826 0.500
0.326 0.174 0.500
```

Results
The formation enthalpy at 0 K is -1.2 eV per formula unit. For the density, the calculation gives 10.29 g/cm³. The excess energy over the best structure of this formula in the dataset is 0 meV/atom.

---

Which of these has the lowest formation enthalpy at 0 K?
Hf6Ga5Mo

---

Please write out number 1 again, unchanged.
A relaxed structure of HfGa2Mo2, computed with GGA-PBE.

```
HfGa2Mo2
1.0
6.931 0.000 0.000
0.000 6.931 0.000
0.000 0.000 3.426
Hf Ga Mo
2 4 4
direct
0.000 0.000 0.000
0.500 0.500 0.000
0.126 0.374 0.000
0.626 0.126 0.000
0.874 0.626 0.000
0.374 0.874 0.000
0.174 0.674 0.500
0.826 0.326 0.500
0.674 0.826 0.500
0.326 0.174 0.500
```

Results
The formation enthalpy at 0 K is -1.2 eV per formula unit. For the density, the calculation gives 10.29 g/cm³. The excess energy over the best structure of this formula in the dataset is 0 meV/atom.

---

Which formula does entry 1 have?
HfGa2Mo2